# 1
! K2Ir2Ru (PBE-GGA, relaxed); values from VASP
&SYSTEM
  ibrav = 0, nat = 10, ntyp = 3
/
ATOMIC_SPECIES
Ru 101.07 Ru.upf
K 39.10 K.upf
Ir 192.22 Ir.upf
CELL_PARAMETERS angstrom
-2.470 0.965 5.811
3.941 -4.412 2.408
3.888 4.012 0.986
ATOMIC_POSITIONS angstrom
Ru 0.000 0.000 0.000
Ru 0.736 -1.723 4.109
K 4.181 -0.824 3.185
K 3.490 -0.950 6.422
K 1.179 1.389 6.020
K 1.870 1.515 2.782
Ir 2.512 -3.474 4.227
Ir 0.348 -1.951 6.565
Ir -1.040 0.027 3.992
Ir 1.123 -1.495 1.654
! - excess energy over the best structure of this formula in the dataset (eV per atom) = 0.000
! - VASP energy (eV per atom) = -5.22



# 2
! KIr2Ru (PBE-GGA, relaxed); values from VASP
&SYSTEM
  ibrav = 0, nat = 4, ntyp = 3
/
ATOMIC_SPECIES
Ir 192.22 Ir.upf
K 39.10 K.upf
Ru 101.07 Ru.upf
CELL_PARAMETERS angstrom
10.175 -0.012 -0.007
9.795 2.756 -0.007
9.795 1.346 2.405
ATOMIC_POSITIONS angstrom
Ir 0.377 0.052 0.030
Ir 14.505 1.993 1.165
K 7.441 1.023 0.598
Ru 22.323 3.068 1.793
! - excess energy over the best structure of this formula in the dataset (eV per atom) = 0.099
! - VASP energy (eV per atom) = -6.46



# 3
! KIrRu2 (PBE-GGA, relaxed); values from VASP
&SYSTEM
  ibrav = 0, nat = 4, ntyp = 3
/
ATOMIC_SPECIES
Ir 192.22 Ir.upf
K 39.10 K.upf
Ru 101.07 Ru.upf
CELL_PARAMETERS angstrom
-1.296 -2.286 0.929
2.275 -1.513 -0.552
3.158 1.654 8.479
ATOMIC_POSITIONS angstrom
Ir 1.411 0.739 3.787
K 2.836 -0.670 6.490
Ru 0.193 0.101 0.519
Ru 1.275 -1.488 2.299
! - excess energy over the best structure of this formula in the dataset (eV per atom) = 0.000
! - VASP energy (eV per atom) = -6.51



# 4
! KIrRu2 (PBE-GGA, relaxed); values from VASP
&SYSTEM
  ibrav = 0, nat = 4, ntyp = 3
/
ATOMIC_SPECIES
Ir 192.22 Ir.upf
K 39.10 K.upf
Ru 101.07 Ru.upf
CELL_PARAMETERS angstrom
-0.064 5.153 0.604
-4.497 -1.733 -1.920
-0.932 -0.299 2.453
ATOMIC_POSITIONS angstrom
Ir -0.498 2.427 1.529
K -2.715 -1.016 0.266
Ru 0.000 0.000 0.000
Ru -2.281 1.710 -0.658
! - excess energy over the best structure of this formula in the dataset (eV per atom) = 0.580
! - VASP energy (eV per atom) = -5.93



# 5
! KIrRu2 (PBE-GGA, relaxed); values from VASP
&SYSTEM
  ibrav = 0, nat = 4, ntyp = 3
/
ATOMIC_SPECIES
Ir 192.22 Ir.upf
K 39.10 K.upf
Ru 101.07 Ru.upf
CELL_PARAMETERS angstrom
-0.700 -1.247 -4.476
2.265 -4.117 0.019
-3.364 1.265 3.027
ATOMIC_POSITIONS angstrom
Ir 0.783 -2.682 -2.228
K -1.641 -1.332 -1.839
Ru 0.000 0.000 0.000
Ru -0.158 -2.767 0.409
! - excess energy over the best structure of this formula in the dataset (eV per atom) = 0.756
! - VASP energy (eV per atom) = -5.76



# 6
! K2IrRu (PBE-GGA, relaxed); values from VASP
&SYSTEM
  ibrav = 0, nat = 4, ntyp = 3
/
ATOMIC_SPECIES
Ir 192.22 Ir.upf
K 39.10 K.upf
Ru 101.07 Ru.upf
CELL_PARAMETERS angstrom
4.448 0.006 -0.010
3.510 2.732 -0.010
0.474 0.163 9.927
ATOMIC_POSITIONS angstrom
Ir 6.330 2.178 6.558
K 0.503 0.173 8.961
K 2.099 0.722 3.435
Ru 4.189 1.441 5.832
! - excess energy over the best structure of this formula in the dataset (eV per atom) = 0.070
! - VASP energy (eV per atom) = -4.52



# 7
! KIrRu2 (PBE-GGA, relaxed); values from VASP
&SYSTEM
  ibrav = 0, nat = 4, ntyp = 3
/
ATOMIC_SPECIES
Ir 192.22 Ir.upf
K 39.10 K.upf
Ru 101.07 Ru.upf
CELL_PARAMETERS angstrom
2.743 -0.002 0.000
-1.293 2.419 0.000
0.000 0.000 10.206
ATOMIC_POSITIONS angstrom
Ir 0.000 0.000 4.808
K 0.725 1.208 7.627
Ru 0.000 0.000 0.349
Ru 0.725 1.208 2.525
! - excess energy over the best structure of this formula in the dataset (eV per atom) = 0.194
! - VASP energy (eV per atom) = -6.32



# 8
! KIr2Ru (PBE-GGA, relaxed); values from VASP
&SYSTEM
  ibrav = 0, nat = 4, ntyp = 3
/
ATOMIC_SPECIES
Ir 192.22 Ir.upf
K 39.10 K.upf
Ru 101.07 Ru.upf
CELL_PARAMETERS angstrom
-1.000 2.121 1.348
-3.552 -1.378 -0.468
0.645 -3.917 6.641
ATOMIC_POSITIONS angstrom
Ir 0.642 -3.899 6.611
Ir -2.166 -0.295 1.571
K 0.319 -1.938 3.285
Ru -1.735 -2.916 6.014
! - excess energy over the best structure of this formula in the dataset (eV per atom) = 0.178
! - VASP energy (eV per atom) = -6.38



# 9
! K2IrRu (PBE-GGA, relaxed); values from VASP
&SYSTEM
  ibrav = 0, nat = 4, ntyp = 3
/
ATOMIC_SPECIES
Ir 192.22 Ir.upf
K 39.10 K.upf
Ru 101.07 Ru.upf
CELL_PARAMETERS angstrom
-1.140 -0.732 3.607
0.916 -3.722 -0.466
5.105 1.028 1.821
ATOMIC_POSITIONS angstrom
Ir 3.010 -1.347 0.678
K 0.000 0.000 0.000
K -0.112 -2.227 1.571
Ru 1.982 0.148 2.714
! - excess energy over the best structure of this formula in the dataset (eV per atom) = 0.594
! - VASP energy (eV per atom) = -4.00



# 10
! KIr2Ru (PBE-GGA, relaxed); values from VASP
&SYSTEM
  ibrav = 0, nat = 4, ntyp = 3
/
ATOMIC_SPECIES
Ir 192.22 Ir.upf
K 39.10 K.upf
Ru 101.07 Ru.upf
CELL_PARAMETERS angstrom
5.887 0.007 0.035
5.269 2.626 0.035
2.088 0.493 5.824
ATOMIC_POSITIONS angstrom
Ir 2.344 0.553 5.070
Ir 6.365 1.502 3.700
K 3.311 0.781 1.473
Ru 9.932 2.344 4.420
! - excess energy over the best structure of this formula in the dataset (eV per atom) = 0.277
! - VASP energy (eV per atom) = -6.28



# 11
! KIr2Ru (PBE-GGA, relaxed); values from VASP
&SYSTEM
  ibrav = 0, nat = 4, ntyp = 3
/
ATOMIC_SPECIES
Ir 192.22 Ir.upf
K 39.10 K.upf
Ru 101.07 Ru.upf
CELL_PARAMETERS angstrom
-1.120 -2.000 -1.561
0.518 -1.851 2.000
-8.337 1.733 3.763
ATOMIC_POSITIONS angstrom
Ir -8.332 1.732 3.760
Ir -1.968 -1.579 0.971
K -4.125 0.858 1.862
Ru -7.021 -0.529 3.252
! - excess energy over the best structure of this formula in the dataset (eV per atom) = 0.137
! - VASP energy (eV per atom) = -6.42



# 12
! KIr2Ru2 (PBE-GGA, relaxed); values from VASP
&SYSTEM
  ibrav = 0, nat = 10, ntyp = 3
/
ATOMIC_SPECIES
Ru 101.07 Ru.upf
K 39.10 K.upf
Ir 192.22 Ir.upf
CELL_PARAMETERS angstrom
7.892 0.000 0.000
0.000 7.892 0.000
0.000 0.000 2.713
ATOMIC_POSITIONS angstrom
Ru 3.015 6.961 0.000
Ru 6.961 4.878 0.000
Ru 4.878 0.932 0.000
Ru 0.932 3.015 0.000
K 0.000 0.000 0.000
K 3.946 3.946 0.000
Ir 1.353 5.299 1.356
Ir 5.299 6.539 1.356
Ir 6.539 2.593 1.356
Ir 2.593 1.353 1.356
! - excess energy over the best structure of this formula in the dataset (eV per atom) = 0.000
! - VASP energy (eV per atom) = -7.05



# 13
! K2IrRu (PBE-GGA, relaxed); values from VASP
&SYSTEM
  ibrav = 0, nat = 4, ntyp = 3
/
ATOMIC_SPECIES
Ir 192.22 Ir.upf
K 39.10 K.upf
Ru 101.07 Ru.upf
CELL_PARAMETERS angstrom
6.163 0.007 -0.079
3.735 4.903 0.079
-4.905 -2.544 2.732
ATOMIC_POSITIONS angstrom
Ir 1.889 2.407 1.406
K 0.056 0.028 0.000
K 4.893 2.427 0.000
Ru 3.104 -0.041 1.326
! - excess energy over the best structure of this formula in the dataset (eV per atom) = 0.596
! - VASP energy (eV per atom) = -3.99



# 14
! KIrRu2 (PBE-GGA, relaxed); values from VASP
&SYSTEM
  ibrav = 0, nat = 4, ntyp = 3
/
ATOMIC_SPECIES
Ir 192.22 Ir.upf
K 39.10 K.upf
Ru 101.07 Ru.upf
CELL_PARAMETERS angstrom
3.850 0.000 0.000
0.000 2.670 0.363
0.000 1.709 8.080
ATOMIC_POSITIONS angstrom
Ir 1.925 1.095 2.111
K 1.925 3.284 6.333
Ru 0.000 2.600 1.051
Ru 0.000 2.260 3.534
! - excess energy over the best structure of this formula in the dataset (eV per atom) = 0.083
! - VASP energy (eV per atom) = -6.43



# 15
! KIr2Ru (PBE-GGA, relaxed); values from VASP
&SYSTEM
  ibrav = 0, nat = 4, ntyp = 3
/
ATOMIC_SPECIES
Ir 192.22 Ir.upf
K 39.10 K.upf
Ru 101.07 Ru.upf
CELL_PARAMETERS angstrom
4.201 0.000 0.000
0.000 4.028 0.000
0.000 0.000 4.028
ATOMIC_POSITIONS angstrom
Ir 0.000 0.000 0.000
Ir 0.000 2.014 2.014
K 2.100 2.014 0.000
Ru 2.100 0.000 2.014
! - excess energy over the best structure of this formula in the dataset (eV per atom) = 0.900
! - VASP energy (eV per atom) = -5.65



# 16
! K2IrRu (PBE-GGA, relaxed); values from VASP
&SYSTEM
  ibrav = 0, nat = 8, ntyp = 3
/
ATOMIC_SPECIES
Ru 101.07 Ru.upf
K 39.10 K.upf
Ir 192.22 Ir.upf
CELL_PARAMETERS angstrom
-2.133 0.551 -12.114
-11.647 -3.521 1.890
-7.529 0.747 -4.898
ATOMIC_POSITIONS angstrom
Ru -6.890 -1.485 -5.112
Ru -13.033 -2.129 -4.060
K -5.071 0.195 -10.832
K -11.161 -1.497 -11.399
K -8.630 0.107 -7.862
K -8.242 0.822 -14.155
Ir 0.000 0.000 0.000
Ir -8.276 -0.093 -11.062
! - excess energy over the best structure of this formula in the dataset (eV per atom) = 0.543
! - VASP energy (eV per atom) = -4.05



# 17
! KIrRu2 (PBE-GGA, relaxed); values from VASP
&SYSTEM
  ibrav = 0, nat = 4, ntyp = 3
/
ATOMIC_SPECIES
Ir 192.22 Ir.upf
K 39.10 K.upf
Ru 101.07 Ru.upf
CELL_PARAMETERS angstrom
-2.206 0.601 -3.247
0.241 -4.054 -0.914
-3.453 -0.705 2.215
ATOMIC_POSITIONS angstrom
Ir -0.982 -1.727 -2.080
K -2.829 -0.052 -0.516
Ru 0.000 0.000 0.000
Ru -1.606 -2.379 0.651
! - excess energy over the best structure of this formula in the dataset (eV per atom) = 0.895
! - VASP energy (eV per atom) = -5.62



# 18
! KIr2Ru (PBE-GGA, relaxed); values from VASP
&SYSTEM
  ibrav = 0, nat = 4, ntyp = 3
/
ATOMIC_SPECIES
Ir 192.22 Ir.upf
K 39.10 K.upf
Ru 101.07 Ru.upf
CELL_PARAMETERS angstrom
2.750 0.004 0.000
-1.314 2.415 0.000
0.000 0.000 10.193
ATOMIC_POSITIONS angstrom
Ir 0.000 0.000 9.893
Ir 0.000 0.000 5.397
K 0.718 1.209 2.548
Ru 0.718 1.209 7.645
! - excess energy over the best structure of this formula in the dataset (eV per atom) = 0.234
! - VASP energy (eV per atom) = -6.32



# 19
! KSbIr2Ru (PBE-GGA, relaxed); values from VASP
&SYSTEM
  ibrav = 0, nat = 5, ntyp = 4
/
ATOMIC_SPECIES
Sb 121.76 Sb.upf
K 39.10 K.upf
Ir 192.22 Ir.upf
Ru 101.07 Ru.upf
CELL_PARAMETERS angstrom
-3.851 -1.294 2.257
1.799 -5.064 0.165
2.086 0.873 4.060
ATOMIC_POSITIONS angstrom
Sb 0.899 -2.532 0.083
K 0.000 0.000 0.000
Ir 1.043 0.437 2.030
Ir -1.925 -0.647 1.129
Ru 0.017 -2.742 3.241
! - uncorrected formation energy (kcal/mol of atoms) = 69.6
! - VASP energy (eV per atom) = -3.43



# 20
! KTcIrRu2 (PBE-GGA, relaxed); values from VASP
&SYSTEM
  ibrav = 0, nat = 5, ntyp = 4
/
ATOMIC_SPECIES
Ru 101.07 Ru.upf
K 39.10 K.upf
Ir 192.22 Ir.upf
Tc 98.00 Tc.upf
CELL_PARAMETERS angstrom
4.413 0.000 0.000
0.000 4.430 0.000
0.000 0.000 4.413
ATOMIC_POSITIONS angstrom
Ru 0.000 0.000 2.207
Ru 2.207 0.000 0.000
K 0.000 0.000 0.000
Ir 2.207 2.215 2.207
Tc 0.000 2.215 0.000
! - VASP energy (eV per atom) = -4.63



# 21
! K5IrS4 (PBE-GGA, relaxed); values from VASP
&SYSTEM
  ibrav = 0, nat = 10, ntyp = 3
/
ATOMIC_SPECIES
K 39.10 K.upf
Ir 192.22 Ir.upf
S 32.06 S.upf
CELL_PARAMETERS angstrom
-1.161 -3.060 -2.526
1.281 -5.180 5.684
-8.194 3.937 2.381
ATOMIC_POSITIONS angstrom
K -2.223 -1.126 2.386
K -2.006 -3.606 5.289
K -6.068 -0.696 0.250
K 0.060 -4.120 1.579
K -5.851 -3.176 3.153
Ir -0.581 -1.530 -1.263
S -2.924 -1.354 -0.400
S -8.972 -0.127 0.896
S -5.151 -2.949 5.939
S 0.898 -4.175 4.643
! - uncorrected formation energy (kcal/mol of atoms) = -13.4
! - VASP energy (eV per atom) = -3.67



# 22
! KIrS2 (PBE-GGA, relaxed); values from VASP
&SYSTEM
  ibrav = 0, nat = 8, ntyp = 3
/
ATOMIC_SPECIES
K 39.10 K.upf
Ir 192.22 Ir.upf
S 32.06 S.upf
CELL_PARAMETERS angstrom
-0.562 -1.153 -3.299
0.242 -6.158 2.110
-8.390 0.144 1.380
ATOMIC_POSITIONS angstrom
K -0.099 -5.224 -0.057
K -4.136 -1.438 1.208
Ir -4.296 -5.094 0.613
Ir 0.062 -1.569 0.538
S -5.462 -4.506 2.506
S -7.162 -2.013 0.026
S -2.566 -4.555 2.029
S -1.668 -2.107 -0.878
! - uncorrected formation energy (kcal/mol of atoms) = -10.8
! - VASP energy (eV per atom) = -5.02



# 23
! KIr2S4 (PBE-GGA, relaxed); values from VASP
&SYSTEM
  ibrav = 0, nat = 14, ntyp = 3
/
ATOMIC_SPECIES
K 39.10 K.upf
Ir 192.22 Ir.upf
S 32.06 S.upf
CELL_PARAMETERS angstrom
7.267 0.000 -1.640
-4.073 5.534 -2.879
0.879 0.000 7.398
ATOMIC_POSITIONS angstrom
K 0.000 0.000 0.000
K 3.633 2.767 -0.820
Ir 5.889 1.383 2.469
Ir 2.256 1.383 3.289
Ir 0.220 4.150 1.849
Ir -0.220 4.150 -1.849
S -1.482 4.510 0.205
S 1.482 4.510 -0.205
S -1.043 3.790 3.904
S 0.740 1.744 5.165
S 1.922 3.790 3.494
S 4.374 1.023 4.345
S 3.772 1.023 1.413
S 0.138 1.744 2.233
! - uncorrected formation energy (kcal/mol of atoms) = -9.0
! - VASP energy (eV per atom) = -5.44



# 24
! KIr6S8 (PBE-GGA, relaxed); values from VASP
&SYSTEM
  ibrav = 0, nat = 15, ntyp = 3
/
ATOMIC_SPECIES
K 39.10 K.upf
Ir 192.22 Ir.upf
S 32.06 S.upf
CELL_PARAMETERS angstrom
6.603 0.090 -0.119
-0.122 6.603 -0.119
0.087 0.090 6.604
ATOMIC_POSITIONS angstrom
K 0.000 0.000 0.000
Ir 3.967 2.985 5.259
Ir 2.811 5.474 3.801
Ir 5.346 4.061 2.691
Ir 2.601 3.798 1.107
Ir 3.758 1.309 2.565
Ir 1.222 2.722 3.676
S 4.906 5.067 4.755
S 1.662 1.717 1.611
S 3.995 5.712 1.653
S 5.652 1.959 3.941
S 1.826 4.176 5.526
S 2.574 1.072 4.714
S 0.917 4.824 2.426
S 4.743 2.607 0.841
! - uncorrected formation energy (kcal/mol of atoms) = -4.5
! - VASP energy (eV per atom) = -6.01



# 25
! KIrS3 (PBE-GGA, relaxed); values from VASP
&SYSTEM
  ibrav = 0, nat = 5, ntyp = 3
/
ATOMIC_SPECIES
K 39.10 K.upf
Ir 192.22 Ir.upf
S 32.06 S.upf
CELL_PARAMETERS angstrom
4.794 0.000 0.000
0.000 4.794 0.000
0.000 0.000 4.794
ATOMIC_POSITIONS angstrom
K 2.397 2.397 2.397
Ir 0.000 0.000 0.000
S 0.000 2.397 0.000
S 0.000 0.000 2.397
S 2.397 0.000 0.000
! - excess energy over the best structure of this formula in the dataset (eV per atom) = 0.445
! - uncorrected formation energy (kcal/mol of atoms) = -0.5
! - VASP energy (eV per atom) = -4.49



# 26
! K4IrS4 (PBE-GGA, relaxed); values from VASP
&SYSTEM
  ibrav = 0, nat = 9, ntyp = 3
/
ATOMIC_SPECIES
K 39.10 K.upf
Ir 192.22 Ir.upf
S 32.06 S.upf
CELL_PARAMETERS angstrom
7.090 0.000 0.000
0.000 7.090 0.000
-3.545 -3.545 6.870
ATOMIC_POSITIONS angstrom
K 3.545 0.000 0.000
K 0.000 3.545 0.000
K 0.000 0.000 4.084
K 3.545 3.545 2.787
Ir 0.000 0.000 0.000
S 2.350 2.350 5.324
S 1.194 5.895 1.546
S -2.350 -2.350 5.324
S 5.895 1.194 1.546
! - uncorrected formation energy (kcal/mol of atoms) = -15.7
! - VASP energy (eV per atom) = -3.99



# 27
! KIrS3 (PBE-GGA, relaxed); values from VASP
&SYSTEM
  ibrav = 0, nat = 10, ntyp = 3
/
ATOMIC_SPECIES
K 39.10 K.upf
Ir 192.22 Ir.upf
S 32.06 S.upf
CELL_PARAMETERS angstrom
6.473 0.000 0.000
3.237 5.606 0.000
3.237 1.869 6.726
ATOMIC_POSITIONS angstrom
K 3.237 1.869 4.430
K 9.710 5.606 2.295
Ir 6.473 3.737 6.707
Ir 6.473 3.737 0.018
S 4.753 4.528 5.297
S 6.649 1.853 5.297
S 4.929 2.643 1.429
S 6.298 5.622 1.429
S 8.193 2.947 1.429
S 8.018 4.832 5.297
! - excess energy over the best structure of this formula in the dataset (eV per atom) = 0.000
! - uncorrected formation energy (kcal/mol of atoms) = -10.8
! - VASP energy (eV per atom) = -4.94